Record 1
A plane-wave DFT calculation with GGA-PBEsol was carried out for an optimized crystal structure of Cd3AsI3.

Summary:
Total magnetic moment ... 0.000 μB/atom
Space group ... No. 6
Formation energy without anion corrections ... -0.373 eV/atom

Cell: 7.3360 4.5044 7.7040 Å, 90.00 90.07 90.00°
Fractional positions:
Cd (0.0000, 0.0000, 0.0000)
Cd (0.0320, 0.5000, 0.5700)
Cd (0.5564, 0.5000, 0.8303)
As (0.9014, 0.5000, 0.8757)
I (0.4009, 0.0000, 0.0233)
I (0.4055, 0.5000, 0.4968)
I (0.8928, 0.0000, 0.3682)

Record 2
A plane-wave DFT calculation with GGA-PBEsol was carried out for an optimized crystal structure of AgSnSe2.

Summary:
Total magnetic moment ... 0.000 μB/atom
Space group ... No. 166
Formation energy without anion corrections ... -0.303 eV/atom

Cell: 6.8101 6.8101 6.8101 Å, 34.13 34.13 34.13°
Fractional positions:
Ag (0.0000, 0.0000, 0.0000)
Sn (0.5000, 0.5000, 0.5000)
Se (0.2543, 0.2543, 0.2543)
Se (0.7457, 0.7457, 0.7457)

Record 3
A plane-wave DFT calculation with GGA-PBEsol was carried out for an optimized crystal structure of In2ReHg.

Summary:
Total magnetic moment ... 0.135 μB/atom
Space group ... No. 139
ΔH_f (0 K) ... 519 meV/atom

Cell: 5.2466 5.2466 5.2466 Å, 133.39 133.39 68.04°
Fractional positions:
In (0.2500, 0.7500, 0.5000)
In (0.7500, 0.2500, 0.5000)
Re (0.0000, 0.0000, 0.0000)
Hg (0.5000, 0.5000, 0.0000)

Record 4
A plane-wave DFT calculation with GGA-PBEsol was carried out for an optimized crystal structure of Li4MgNi3O8.

Summary:
Total magnetic moment ... 0.126 μB/atom
Space group ... No. 12
Formation energy without anion corrections ... -1.547 eV/atom

Cell: 5.7104 5.7104 5.7527 Å, 120.25 120.25 60.22°
Fractional positions:
Li (0.0000, 0.0000, 0.0000)
Li (0.0000, 0.5000, 0.0000)
Li (0.5000, 0.0000, 0.0000)
Li (0.5000, 0.5000, 0.0000)
Mg (0.0000, 0.0000, 0.5000)
Ni (0.0000, 0.5000, 0.5000)
Ni (0.5000, 0.0000, 0.5000)
Ni (0.5000, 0.5000, 0.5000)
O (0.2500, 0.2500, 0.7149)
O (0.2513, 0.7227, 0.7207)
O (0.2623, 0.2623, 0.2612)
O (0.2773, 0.7487, 0.2793)
O (0.7227, 0.2513, 0.7207)
O (0.7377, 0.7377, 0.7388)
O (0.7487, 0.2773, 0.2793)
O (0.7500, 0.7500, 0.2851)

Record 5
A plane-wave DFT calculation with GGA-PBEsol was carried out for an optimized crystal structure of TePBr2.

Summary:
Total magnetic moment ... 0.000 μB/atom
Space group ... No. 6
Formation energy without anion corrections ... -0.045 eV/atom

Cell: 5.8161 3.7255 5.8690 Å, 90.00 90.43 90.00°
Fractional positions:
Te (0.0000, 0.0000, 0.0000)
P (0.2892, 0.5000, 0.9078)
Br (0.0269, 0.0000, 0.4919)
Br (0.5171, 0.5000, 0.2207)

Record 6
A plane-wave DFT calculation with GGA-PBEsol was carried out for an optimized crystal structure of La3SiBi.

Summary:
Total magnetic moment ... 0.000 μB/atom
Space group ... No. 221
Formation energy without anion corrections ... -0.421 eV/atom

Cell: 5.5822 5.5822 5.5822 Å, 90.00 90.00 90.00°
Fractional positions:
La (0.0000, 0.0000, 0.5000)
La (0.0000, 0.5000, 0.0000)
La (0.5000, 0.0000, 0.0000)
Si (0.0000, 0.0000, 0.0000)
Bi (0.5000, 0.5000, 0.5000)

Record 7
A plane-wave DFT calculation with GGA-PBEsol was carried out for an optimized crystal structure of InCoIN2.

Summary:
Total magnetic moment ... 0.953 μB/atom
Space group ... No. 123
Formation energy without anion corrections ... 1.761 eV/atom

Cell: 4.0793 4.0793 6.2988 Å, 90.00 90.00 90.00°
Fractional positions:
In (0.0000, 0.0000, 0.0000)
Co (0.5000, 0.5000, 0.5000)
I (0.0000, 0.0000, 0.5000)
N (0.0000, 0.5000, 0.0000)
N (0.5000, 0.0000, 0.0000)

Record 8
A plane-wave DFT calculation with GGA-PBEsol was carried out for an optimized crystal structure of AsIrOs2.

Summary:
Total magnetic moment ... 0.000 μB/atom
Space group ... No. 71
ΔH_f (0 K) ... 393 meV/atom

Cell: 5.2477 5.2477 5.2477 Å, 148.22 130.69 59.86°
Fractional positions:
As (0.0000, 0.0000, 0.0000)
Ir (0.5000, 0.5000, 0.0000)
Os (0.2159, 0.7159, 0.5000)
Os (0.7841, 0.2841, 0.5000)

Record 9
A plane-wave DFT calculation with GGA-PBEsol was carried out for an optimized crystal structure of ZnAgHg2.

Summary:
Total magnetic moment ... 0.000 μB/atom
Space group ... No. 25
ΔH_f (0 K) ... 58 meV/atom

Cell: 3.4051 3.7612 5.8310 Å, 90.00 90.00 90.00°
Fractional positions:
Zn (0.0000, 0.0000, 0.0000)
Ag (0.5000, 0.5000, 0.2308)
Hg (0.0000, 0.0000, 0.4756)
Hg (0.5000, 0.5000, 0.7562)

Record 10
A plane-wave DFT calculation with GGA-PBEsol was carried out for an optimized crystal structure of CaCd2Pb.

Summary:
Total magnetic moment ... 0.000 μB/atom
Space group ... No. 47
ΔH_f (0 K) ... -226 meV/atom

Cell: 3.4109 5.2634 5.8066 Å, 90.00 90.00 90.00°
Fractional positions:
Ca (0.0000, 0.0000, 0.0000)
Cd (0.5000, 0.5000, 0.2406)
Cd (0.5000, 0.5000, 0.7594)
Pb (0.5000, 0.0000, 0.5000)

Record 11
A plane-wave DFT calculation with GGA-PBEsol was carried out for an optimized crystal structure of SiNi6Pt.

Summary:
Total magnetic moment ... 0.182 μB/atom
Space group ... No. 65
Formation energy without anion corrections ... -0.265 eV/atom

Cell: 6.1127 6.1127 9.9974 Å, 90.00 90.00 109.60°
Fractional positions:
Si (0.0000, 0.0000, 0.2474)
Si (0.0000, 0.0000, 0.7526)
Si (0.2523, 0.7477, 0.0000)
Si (0.7477, 0.2523, 0.0000)
Ni (0.0000, 0.0000, 0.0000)
Ni (0.0000, 0.0000, 0.5000)
Ni (0.1190, 0.3654, 0.3693)
Ni (0.1190, 0.3654, 0.6307)
Ni (0.1188, 0.3722, 0.1203)
Ni (0.1188, 0.3722, 0.8797)
Ni (0.2456, 0.7544, 0.2409)
Ni (0.2456, 0.7544, 0.7591)
Ni (0.3654, 0.1190, 0.3693)
Ni (0.3654, 0.1190, 0.6307)
Ni (0.3722, 0.1188, 0.1203)
Ni (0.3722, 0.1188, 0.8797)
Ni (0.5000, 0.5000, 0.0000)
Ni (0.5000, 0.5000, 0.5000)
Ni (0.6278, 0.8812, 0.1203)
Ni (0.6278, 0.8812, 0.8797)
Ni (0.6346, 0.8810, 0.3693)
Ni (0.6346, 0.8810, 0.6307)
Ni (0.7544, 0.2456, 0.2409)
Ni (0.7544, 0.2456, 0.7591)
Ni (0.8812, 0.6278, 0.1203)
Ni (0.8812, 0.6278, 0.8797)
Ni (0.8810, 0.6346, 0.3693)
Ni (0.8810, 0.6346, 0.6307)
Pt (0.2524, 0.7476, 0.5000)
Pt (0.5000, 0.5000, 0.2497)
Pt (0.5000, 0.5000, 0.7503)
Pt (0.7476, 0.2524, 0.5000)

Record 12
A plane-wave DFT calculation with GGA-PBEsol was carried out for an optimized crystal structure of CaCuMo2.

Summary:
Total magnetic moment ... 0.000 μB/atom
Space group ... No. 12
ΔH_f (0 K) ... 671 meV/atom

Cell: 5.6200 5.6200 2.6217 Å, 98.67 98.67 123.15°
Fractional positions:
Ca (0.0000, 0.0000, 0.0000)
Cu (0.5000, 0.5000, 0.0000)
Mo (0.0000, 0.5000, 0.5000)
Mo (0.5000, 0.0000, 0.5000)

Calculated values (eV/cell) of total energy for the records, taken in order: -16.61; -16.48; -17.79; -94.81; -13.24; -28.18; -20.73; -37.79; -5.80; -9.43; -207.11; -27.32.